No. 1
AgSb2As2 | PBE-GGA | optimized geometry

The total magnetization is 0.00 μB per formula unit. The value obtained for the density of states at the Fermi level is 0.555 states/eV/atom. The uncorrected formation energy is 225 meV per atom.

It has space group I4/mmm (No. 139), with a = 5.639 Å, b = 5.639 Å, c = 7.954 Å, α = 90.00°, β = 90.00° and γ = 90.00°. The distinct sites, in fractional coordinates, are Ag at (0.000, 0.000, 0.000), Sb at (0.000, 0.500, 0.250) and As at (0.000, 0.000, 0.333).

No. 2
ErBi6 | PBE-GGA | optimized geometry

The total magnetization is 0.00 μB per formula unit. The value obtained for the density of states at the Fermi level is 0.983 states/eV/atom. The calculation puts the formation energy from the elements at 560 meV per atom.

It has space group Im-3m (No. 229), with a = 8.780 Å, b = 8.780 Å, c = 8.780 Å, α = 90.00°, β = 90.00° and γ = 90.00°. The distinct sites, in fractional coordinates, are Er at (0.000, 0.000, 0.000) and Bi at (0.000, 0.250, 0.500).

No. 3
CaZnS2O8 | PBE-GGA | optimized geometry

The total magnetization is 0.00 μB per formula unit. The value obtained for the density of states at the Fermi level is 0.000 states/eV/atom. The uncorrected formation energy is -1745 meV per atom.

It has space group P-3 (No. 147), with a = 5.0741 Å, b = 5.0741 Å, c = 6.8776 Å, α = 90.00°, β = 90.00° and γ = 120.00°. The distinct sites, in fractional coordinates, are Ca at (0.0000, 0.0000, 0.0000), Zn at (0.0000, 0.0000, 0.5000), S at (0.3333, 0.6667, 0.7715), O at (0.1229, 0.3500, 0.7035) and O at (0.3333, 0.6667, 0.9864).

No. 4
Th6Fe3Hg | PBE-GGA | optimized geometry

The total magnetization is 0.00 μB per formula unit. The value obtained for the density of states at the Fermi level is 0.995 states/eV/atom. The calculation puts the formation energy from the elements at -69 meV per atom.

It has space group P2_1/m (No. 11), with a = 11.463 Å, b = 3.908 Å, c = 12.119 Å, α = 90.00°, β = 103.54° and γ = 90.00°. The distinct sites, in fractional coordinates, are Th at (0.008, 0.250, 0.123), Th at (0.113, 0.750, 0.459), Th at (0.189, 0.250, 0.755), Th at (0.291, 0.250, 0.288), Th at (0.317, 0.750, 0.035), Th at (0.417, 0.250, 0.589), Fe at (0.017, 0.750, 0.665), Fe at (0.158, 0.250, 0.975), Fe at (0.348, 0.750, 0.430) and Hg at (0.451, 0.750, 0.819).

No. 5
Ca3TlB | PBE-GGA | optimized geometry

The total magnetization is 0.89 μB per formula unit. The value obtained for the density of states at the Fermi level is 1.410 states/eV/atom. The calculation puts the formation energy from the elements at 106 meV per atom.

It has space group Pm-3m (No. 221), with a = 5.303 Å, b = 5.303 Å, c = 5.303 Å, α = 90.00°, β = 90.00° and γ = 90.00°. The distinct sites, in fractional coordinates, are Ca at (0.000, 0.000, 0.500), Tl at (0.500, 0.500, 0.500) and B at (0.000, 0.000, 0.000).

No. 6
CaZrOs2 | PBE-GGA | optimized geometry

The total magnetization is 0.00 μB per formula unit. The value obtained for the density of states at the Fermi level is 1.046 states/eV/atom. The calculation puts the formation energy from the elements at 266 meV per atom.

It has space group Pmm2 (No. 25), with a = 2.913 Å, b = 3.777 Å, c = 7.867 Å, α = 90.00°, β = 90.00° and γ = 90.00°. The distinct sites, in fractional coordinates, are Ca at (0.000, 0.000, 0.000), Zr at (0.500, 0.500, 0.631), Os at (0.000, 0.000, 0.406) and Os at (0.500, 0.500, 0.283).

No. 7
HfSb2IBr | PBE-GGA | optimized geometry

The total magnetization is 0.56 μB per formula unit. The value obtained for the density of states at the Fermi level is 0.613 states/eV/atom. The uncorrected formation energy is 1117 meV per atom.

It has space group P4/mmm (No. 123), with a = 5.476 Å, b = 5.476 Å, c = 5.437 Å, α = 90.00°, β = 90.00° and γ = 90.00°. The distinct sites, in fractional coordinates, are Hf at (0.000, 0.000, 0.000), Sb at (0.000, 0.500, 0.500), I at (0.500, 0.500, 0.000) and Br at (0.500, 0.500, 0.500).

No. 8
CsCrW2S8 | PBE-GGA | optimized geometry

The total magnetization is 2.94 μB per formula unit. The uncorrected formation energy is -562 meV per atom.

It has space group R-3 (No. 148, hexagonal axes), with a = 6.2946 Å, b = 6.2946 Å, c = 28.8100 Å, α = 90.00°, β = 90.00° and γ = 120.00°. The distinct sites, in fractional coordinates, are Cs at (0.0000, 0.0000, 0.0000), Cr at (0.0000, 0.0000, 0.5000), W at (0.0000, 0.0000, 0.2385), S at (0.0000, 0.0000, 0.3140) and S at (0.0096, 0.6945, 0.4504).

No. 9
SmCdHgBi | PBE-GGA | optimized geometry

The total magnetization is 0.00 μB per formula unit. The value obtained for the density of states at the Fermi level is 0.282 states/eV/atom. The calculation puts the formation energy from the elements at -447 meV per atom.

It has space group Pmmm (No. 47), with a = 4.499 Å, b = 4.664 Å, c = 5.100 Å, α = 90.00°, β = 90.00° and γ = 90.00°. The distinct sites, in fractional coordinates, are Sm at (0.000, 0.000, 0.000), Cd at (0.000, 0.500, 0.500), Hg at (0.500, 0.000, 0.500) and Bi at (0.500, 0.500, 0.000).

No. 10
La2CrMoC | PBE-GGA | optimized geometry

The total magnetization is 3.87 μB per formula unit. The value obtained for the density of states at the Fermi level is 0.949 states/eV/atom. The calculation puts the formation energy from the elements at 1037 meV per atom.

It has space group P4/mmm (No. 123), with a = 5.418 Å, b = 5.418 Å, c = 3.768 Å, α = 90.00°, β = 90.00° and γ = 90.00°. The distinct sites, in fractional coordinates, are La at (0.000, 0.500, 0.000), Cr at (0.000, 0.000, 0.000), Mo at (0.500, 0.500, 0.500) and C at (0.000, 0.000, 0.500).

No. 11
KCoIr | PBE-GGA | optimized geometry

The total magnetization is 2.95 μB per formula unit. The value obtained for the density of states at the Fermi level is 2.527 states/eV/atom. The calculation puts the formation energy from the elements at 2404 meV per atom.

It has space group F-43m (No. 216), with a = 6.478 Å, b = 6.478 Å, c = 6.478 Å, α = 90.00°, β = 90.00° and γ = 90.00°. The distinct sites, in fractional coordinates, are K at (0.000, 0.000, 0.000), Co at (0.250, 0.250, 0.750) and Ir at (0.250, 0.250, 0.250).

No. 12
Sc2Ga5Cu3 | PBE-GGA | optimized geometry

The total magnetization is 0.00 μB per formula unit. The value obtained for the density of states at the Fermi level is 0.349 states/eV/atom. The calculation puts the formation energy from the elements at -355 meV per atom.

It has space group Ibam (No. 72), with a = 10.491 Å, b = 11.224 Å, c = 5.628 Å, α = 90.00°, β = 90.00° and γ = 90.00°. The distinct sites, in fractional coordinates, are Sc at (0.242, 0.131, 0.000), Ga at (0.000, 0.000, 0.250), Ga at (0.000, 0.260, 0.250), Ga at (0.152, 0.392, 0.000), Cu at (0.000, 0.500, 0.250) and Cu at (0.130, 0.131, 0.500).

No. 13
CaYTl2Ag | PBE-GGA | optimized geometry

The total magnetization is 0.00 μB per formula unit. The value obtained for the density of states at the Fermi level is 0.717 states/eV/atom. The calculation puts the formation energy from the elements at 469 meV per atom.

It has space group P4/mmm (No. 123), with a = 5.641 Å, b = 5.641 Å, c = 5.194 Å, α = 90.00°, β = 90.00° and γ = 90.00°. The distinct sites, in fractional coordinates, are Ca at (0.000, 0.000, 0.000), Y at (0.500, 0.500, 0.500), Tl at (0.000, 0.500, 0.000) and Ag at (0.000, 0.000, 0.500).

No. 14
NbZnNi | PBE-GGA | optimized geometry

The total magnetization is 0.00 μB per formula unit. The value obtained for the density of states at the Fermi level is 0.580 states/eV/atom. The calculation puts the formation energy from the elements at -164 meV per atom.

It has space group P-6m2 (No. 187), with a = 4.2732 Å, b = 4.2732 Å, c = 2.6954 Å, α = 90.00°, β = 90.00° and γ = 120.00°. The distinct sites, in fractional coordinates, are Nb at (0.0000, 0.0000, 0.0000), Zn at (0.6667, 0.3333, 0.5000) and Ni at (0.3333, 0.6667, 0.5000).

No. 15
KV2RuSe | PBE-GGA | optimized geometry

The total magnetization is 6.54 μB per formula unit. The value obtained for the density of states at the Fermi level is 1.667 states/eV/atom. The uncorrected formation energy is 2452 meV per atom.

It has space group P4/mmm (No. 123), with a = 5.081 Å, b = 5.081 Å, c = 4.564 Å, α = 90.00°, β = 90.00° and γ = 90.00°. The distinct sites, in fractional coordinates, are K at (0.000, 0.000, 0.000), V at (0.000, 0.500, 0.000), Ru at (0.000, 0.000, 0.500) and Se at (0.500, 0.500, 0.500).

No. 16
Co2TeOs2 | PBE-GGA | optimized geometry

The total magnetization is 0.00 μB per formula unit. The value obtained for the density of states at the Fermi level is 1.301 states/eV/atom. The uncorrected formation energy is 616 meV per atom.

It has space group I4/mmm (No. 139), with a = 3.585 Å, b = 3.585 Å, c = 12.162 Å, α = 90.00°, β = 90.00° and γ = 90.00°. The distinct sites, in fractional coordinates, are Co at (0.000, 0.000, 0.102), Te at (0.000, 0.000, 0.500) and Os at (0.000, 0.500, 0.250).

No. 17
Zr2Cd2Cl | PBE-GGA | optimized geometry

The total magnetization is 0.00 μB per formula unit. The value obtained for the density of states at the Fermi level is 0.613 states/eV/atom. The uncorrected formation energy is -319 meV per atom.

It has space group P4/mbm (No. 127), with a = 6.826 Å, b = 6.826 Å, c = 4.804 Å, α = 90.00°, β = 90.00° and γ = 90.00°. The distinct sites, in fractional coordinates, are Zr at (0.160, 0.340, 0.000), Cd at (0.149, 0.649, 0.500) and Cl at (0.000, 0.000, 0.000).

No. 18
Cs5Si2Se6 | PBE-GGA | optimized geometry

The total magnetization is 0.00 μB per formula unit. The value obtained for the density of states at the Fermi level is 0.420 states/eV/atom. The uncorrected formation energy is -947 meV per atom.

It has space group C2/c (No. 15), with a = 13.841 Å, b = 8.993 Å, c = 18.529 Å, α = 90.00°, β = 101.69° and γ = 90.00°. The distinct sites, in fractional coordinates, are Cs at (0.000, 0.122, 0.250), Cs at (0.053, 0.236, 0.998), Cs at (0.158, 0.424, 0.719), Si at (0.227, 0.355, 0.429), Se at (0.073, 0.443, 0.376), Se at (0.155, 0.064, 0.634) and Se at (0.220, 0.087, 0.440).

No. 19
Cu4GeAu | PBE-GGA | optimized geometry

The total magnetization is 0.00 μB per formula unit. The value obtained for the density of states at the Fermi level is 0.335 states/eV/atom. The calculation puts the formation energy from the elements at 72 meV per atom.

It has space group F-43m (No. 216), with a = 6.967 Å, b = 6.967 Å, c = 6.967 Å, α = 90.00°, β = 90.00° and γ = 90.00°. The distinct sites, in fractional coordinates, are Cu at (0.125, 0.125, 0.125), Ge at (0.250, 0.250, 0.750) and Au at (0.000, 0.000, 0.500).

No. 20
ThPaCu2 | PBE-GGA | optimized geometry

The total magnetization is 0.00 μB per formula unit. The value obtained for the density of states at the Fermi level is 1.407 states/eV/atom. The calculation puts the formation energy from the elements at 265 meV per atom.

It has space group R-3m (No. 166, hexagonal axes), with a = 3.4107 Å, b = 3.4107 Å, c = 26.6192 Å, α = 90.00°, β = 90.00° and γ = 120.00°. The distinct sites, in fractional coordinates, are Th at (0.0000, 0.0000, 0.0000), Pa at (0.0000, 0.0000, 0.5000) and Cu at (0.0000, 0.0000, 0.2469).